[1]
PBE Zr2TaNbH, relaxed; polymorph energy (0 for the lowest one) = 0 meV per atom; symmetry = P4/mmm
1.0
4.189 0.000 0.000
0.000 4.189 0.000
0.000 0.000 4.815
Zr Ta Nb H
2 1 1 1
Cartesian
0.000 2.095 0.000 Zr
2.095 0.000 0.000 Zr
0.000 0.000 2.408 Ta
2.095 2.095 2.408 Nb
2.095 2.095 0.000 H

---

[2]
PBE PmPrDyCd, relaxed; polymorph energy (0 for the lowest one) = 110 meV per atom; symmetry = F-43m; energy of formation = -0.04 eV/atom
1.0
0.000 3.934 3.934
3.934 0.000 3.934
3.934 3.934 0.000
Pm Pr Dy Cd
1 1 1 1
Cartesian
0.000 0.000 0.000 Pm
3.934 3.934 3.934 Pr
1.967 1.967 1.967 Dy
5.902 5.902 5.902 Cd

---

[3]
PBE CsAl3Cl, relaxed; polymorph energy (0 for the lowest one) = 915 meV per atom; symmetry = Pm-3m; energy relative to the elements, uncorrected = 1.402 eV per atom
1.0
6.638 0.000 0.000
0.000 6.638 0.000
0.000 0.000 6.638
Cs Al Cl
1 3 1
Cartesian
0.000 0.000 0.000 Cs
0.000 0.000 3.319 Al
0.000 3.319 0.000 Al
3.319 0.000 0.000 Al
3.319 3.319 3.319 Cl

---

[4]
PBE Sm4ErCo4, relaxed; symmetry = P4_2/n; energy of formation = -0.01 eV/atom
1.0
8.459 0.000 0.000
0.000 8.459 0.000
0.000 0.000 5.711
Sm Er Co
8 2 8
Cartesian
0.471 5.725 0.738 Sm
1.496 7.988 3.593 Sm
2.734 4.700 3.593 Sm
3.759 6.963 0.738 Sm
4.700 1.496 4.973 Sm
5.725 3.759 2.118 Sm
6.963 0.471 2.118 Sm
7.988 2.734 4.973 Sm
2.115 2.115 1.428 Er
6.344 6.344 4.283 Er
0.082 5.192 3.467 Co
0.963 8.377 0.612 Co
3.267 4.311 0.612 Co
4.148 7.496 3.467 Co
4.311 0.963 2.243 Co
5.192 4.148 5.099 Co
7.496 0.082 5.099 Co
8.377 3.267 2.243 Co

---

[5]
PBE TlGeTe2I, relaxed; polymorph energy (0 for the lowest one) = 0 meV per atom; symmetry = P4/mmm; energy relative to the elements, uncorrected = 0.023 eV per atom
1.0
5.487 0.000 0.000
0.000 5.487 0.000
0.000 0.000 6.030
Tl Ge Te I
1 1 2 1
Cartesian
0.000 0.000 0.000 Tl
2.744 2.744 3.015 Ge
0.000 2.744 3.015 Te
2.744 0.000 3.015 Te
2.744 2.744 0.000 I

---

[6]
PBE AlTl2Cd, relaxed; symmetry = Pmmm; energy of formation = 0.22 eV/atom
1.0
3.244 0.000 0.000
0.000 5.615 0.000
0.000 0.000 5.742
Al Tl Cd
1 2 1
Cartesian
0.000 0.000 0.000 Al
0.000 2.807 2.871 Tl
1.622 2.807 0.000 Tl
1.622 0.000 2.871 Cd

---

[7]
PBE EuTl2Pd, relaxed; symmetry = P2_1/m; energy of formation = -0.43 eV/atom
1.0
4.433 0.000 0.000
0.000 8.510 0.000
-2.192 0.000 5.429
Eu Tl Pd
2 4 2
Cartesian
0.012 2.127 0.723 Eu
2.229 6.382 4.706 Eu
0.013 0.421 3.866 Tl
0.013 3.834 3.866 Tl
2.229 4.676 1.563 Tl
2.229 8.088 1.563 Tl
0.011 6.382 2.395 Pd
2.230 2.127 3.033 Pd

---

[8]
PBE BaAc2Os, relaxed; polymorph energy (0 for the lowest one) = 24 meV per atom; symmetry = C2/m; energy of formation = 0.05 eV/atom
1.0
9.259 -2.211 0.000
9.259 2.211 0.000
-1.103 0.000 8.226
Ba Ac Os
2 4 2
Cartesian
0.362 0.000 2.081 Ba
17.053 0.000 6.145 Ba
2.853 0.000 4.992 Ac
5.080 0.000 8.183 Ac
12.335 0.000 0.043 Ac
14.562 0.000 3.234 Ac
3.762 0.000 1.954 Os
13.654 0.000 6.272 Os

---

[9]
PBE Hf2NbIr, relaxed; symmetry = P4/mmm; energy of formation = -0.50 eV/atom
1.0
3.310 0.000 0.000
0.000 3.310 0.000
0.000 0.000 6.831
Hf Nb Ir
2 1 1
Cartesian
0.000 0.000 1.611 Hf
0.000 0.000 5.220 Hf
1.655 1.655 3.415 Nb
1.655 1.655 0.000 Ir

---

[10]
PBE KTlGa, relaxed; polymorph energy (0 for the lowest one) = 87 meV per atom; symmetry = I4mm; energy of formation = -0.01 eV/atom
1.0
-1.884 1.884 6.614
1.884 -1.884 6.614
1.884 1.884 -6.614
K Tl Ga
1 1 1
Cartesian
0.000 0.000 0.000 K
0.000 0.000 3.996 Tl
0.000 0.000 9.025 Ga

---

[11]
PBE BaNa2Ca, relaxed; polymorph energy (0 for the lowest one) = 174 meV per atom; symmetry = I-42d; energy of formation = 0.21 eV/atom
1.0
-4.923 4.923 3.937
4.923 -4.923 3.937
4.923 4.923 -3.937
Ba Na Ca
2 4 2
Cartesian
0.000 0.000 0.000 Ba
0.000 4.923 1.969 Ba
2.462 -2.276 2.953 Na
2.647 2.462 0.984 Na
2.462 7.200 -0.984 Na
2.276 2.462 4.921 Na
4.923 0.000 1.969 Ca
0.000 0.000 3.937 Ca

---

[12]
PBE La2Pm3Y, relaxed; polymorph energy (0 for the lowest one) = 271 meV per atom; symmetry = Ibam; energy of formation = 0.51 eV/atom
1.0
-5.754 5.985 3.512
5.754 -5.985 3.512
5.754 5.985 -3.512
La Pm Y
4 6 2
Cartesian
2.839 2.456 0.000 La
2.839 -2.456 3.512 La
2.915 8.441 0.000 La
2.915 3.529 3.512 La
5.754 -2.853 1.756 Pm
0.000 0.000 1.756 Pm
5.754 2.853 1.756 Pm
0.000 3.132 1.756 Pm
0.000 0.000 5.268 Pm
0.000 8.838 1.756 Pm
5.754 0.000 0.000 Y
0.000 5.985 0.000 Y

---

no.,Fermi-level density of states (states/eV/atom),E_tot (eV/atom)
1,1.292,-8.4119
2,1.423,-3.8036
3,1.212,-1.3833
4,0.629,-5.7761
5,0.865,-2.9402
6,0.470,-2.1315
7,2.726,-5.4806
8,0.964,-5.2954
9,1.138,-10.2059
10,0.554,-2.1699
11,1.225,-1.4339
12,1.741,-4.5880